Below is crystalline GeSbPd at its relaxed geometry, with properties calculated at the PBE level.

Summary:
The calculation puts the electronic total energy at -4.872 eV/atom. The volume is 21.595 Å³/atom.

The structure in CIF format:
```
data_GeSbPd
_space_group_name_H-M_alt 'F -4 3 m'
_space_group_IT_number 216
_space_group_name_Hall 'F -4 2 3'
_cell_length_a 6.375
_cell_length_b 6.375
_cell_length_c 6.375
_cell_angle_alpha 90.00
_cell_angle_beta 90.00
_cell_angle_gamma 90.00
loop_
_atom_site_label
_atom_site_fract_x
_atom_site_fract_y
_atom_site_fract_z
Ge1 0.000 0.000 0.000
Sb1 0.000 0.000 0.500
Pd1 0.250 0.250 0.250
```